Entry from Alexandria: ZnOsW2 after structural relaxation (PBE-GGA).

Structure (POSCAR):
```
ZnOsW2
1.0
-2.466 1.398 2.880
0.149 -3.427 1.791
3.061 1.199 2.040
Zn Os W
1 1 2
direct
0.500 0.500 0.000 Zn
0.500 0.000 0.500 Os
0.000 0.000 0.000 W
0.000 0.500 0.500 W
```

Summary:
E: -0.6838 Ry per atom
mass density: 17.1 g/cm³
formation enthalpy at 0 K: 0.30 eV per atom